## Th2AlOs2 (PBE)

Data for a geometry-optimized Th2AlOs2 structure.

E_form: -0.294 eV per atom

Cell: 5.7169 7.4107 7.2066 Å, 120.94 113.37 90.00°
With the nearest neighbours (Å) after each atom.
Fractional coordinates of all 10 atoms:
Th: 0.8492 0.6864 0.6984  4 Os 2.77-2.98
Th: 0.1508 0.3136 0.3016  4 Os 2.77-2.98
Th: 0.6508 0.9881 0.3016  4 Os 2.77-2.98
Th: 0.3492 0.0119 0.6984  4 Os 2.77-2.98
Al: 0.7500 0.5000 0.0000  4 Os 2.60, 2 Al 2.86
Al: 0.2500 0.5000 0.0000  4 Os 2.60, 2 Al 2.86
Os: 0.3969 0.6463 0.7938  2 Al 2.60, 2 Th 2.77-2.86
Os: 0.6031 0.3537 0.2062  2 Al 2.60, 2 Th 2.77-2.86
Os: 0.1031 0.8525 0.2062  2 Al 2.60, 2 Th 2.77-2.86
Os: 0.8969 0.1475 0.7938  2 Al 2.60, 2 Th 2.77-2.86